Here is crystalline ZrBi at its relaxed geometry from OQMD. Energies are from PBE.

Lattice parameters (Å, degrees): 6.371 5.559 9.117 90.00 105.55 90.00
Sites, in units of the cell vectors:
Zr  0.147  0.250  0.267
Zr  0.181  0.750  0.072
Zr  0.281  0.250  0.913
Zr  0.719  0.750  0.087
Zr  0.819  0.250  0.928
Zr  0.853  0.750  0.733
Bi  0.033  0.750  0.395
Bi  0.379  0.750  0.795
Bi  0.483  0.250  0.612
Bi  0.517  0.750  0.388
Bi  0.621  0.250  0.205
Bi  0.967  0.250  0.605

Values from the calculation:
As for the size of the total moment: 0.00 μB/f.u. Its density is 9.62 g/cm3. The total DFT energy (no corrections) is -6.446 eV/atom.